# SrMnAg2Cl6

An optimized crystal structure of SrMnAg2Cl6 (PBE, the Alexandria database).

POSCAR file:
```
SrMnAg2Cl6
1.0
3.4288 1.9796 6.5541
-3.4288 1.9796 6.5541
0.0000 -3.9592 6.5541
Sr Mn Ag Cl
1 1 2 6
direct
0.0000 0.0000 0.0000
0.5000 0.5000 0.5000
0.1991 0.1991 0.1991
0.8009 0.8009 0.8009
0.1320 0.7436 0.4031
0.2564 0.5969 0.8680
0.4031 0.1320 0.7436
0.5969 0.8680 0.2564
0.7436 0.4031 0.1320
0.8680 0.2564 0.5969
```

Values from the calculation:
* formation energy from raw total energies: -1.22 eV/atom


# KZn2N4

An optimized crystal structure of KZn2N4 (PBE, the Alexandria database).

POSCAR file:
```
KZn2N4
1.0
4.7631 0.0000 0.0000
0.0000 4.7631 0.0000
0.0000 0.0000 11.7333
K Zn N
2 4 8
direct
0.0000 0.0000 0.0000
0.5000 0.5000 0.5000
0.0000 0.0000 0.3967
0.0000 0.0000 0.6033
0.5000 0.5000 0.1033
0.5000 0.5000 0.8967
0.0000 0.0000 0.2353
0.0000 0.0000 0.7647
0.0000 0.5000 0.0000
0.0000 0.5000 0.5000
0.5000 0.0000 0.0000
0.5000 0.0000 0.5000
0.5000 0.5000 0.2647
0.5000 0.5000 0.7353
```

Values from the calculation:
* formation energy from raw total energies: 2.14 eV/atom


# Sm4Cd2Ag

An optimized crystal structure of Sm4Cd2Ag (PBE, the Alexandria database).

POSCAR file:
```
Sm4Cd2Ag
1.0
2.6460 1.5277 8.5715
-2.6460 1.5277 8.5715
0.0000 -3.0553 8.5715
Sm Cd Ag
4 2 1
direct
0.1223 0.1223 0.1223
0.3730 0.3730 0.3730
0.6270 0.6270 0.6270
0.8777 0.8777 0.8777
0.2495 0.2495 0.2495
0.7505 0.7505 0.7505
0.5000 0.5000 0.5000
```

Values from the calculation:
* energy of formation from the pure elements: -0.8 eV per formula unit


# AlVCr

An optimized crystal structure of AlVCr (PBE, the Alexandria database).

POSCAR file:
```
AlVCr
1.0
2.7707 0.0000 0.0000
0.0000 3.8507 0.0000
0.0000 0.0000 4.4116
Al V Cr
1 1 1
direct
0.0000 0.0000 0.0000
0.0000 0.5000 0.5000
0.5000 0.0000 0.5000
```

Values from the calculation:
* energy of formation from the pure elements: 1.1 eV per formula unit
* distance to the lowest polymorph of the same formula: 568.3 meV/atom


# H8PdPt3

An optimized crystal structure of H8PdPt3 (PBE, the Alexandria database).

POSCAR file:
```
H8PdPt3
1.0
5.8752 -1.6413 0.0000
5.8752 1.6413 0.0000
-1.7102 0.0000 5.7714
H Pd Pt
8 1 3
direct
0.0000 0.0000 0.0000
0.1337 0.1337 0.7912
0.2962 0.2962 0.2643
0.4421 0.4421 0.7433
0.5207 0.5207 0.2376
0.7308 0.7308 0.0184
0.8235 0.8235 0.6808
0.9101 0.9101 0.2823
0.6743 0.6743 0.7064
0.0625 0.0625 0.3005
0.7653 0.7653 0.3058
0.9728 0.9728 0.7052
```

Values from the calculation:
* energy: -4.150 eV/atom


# LiCoW

An optimized crystal structure of LiCoW (PBE, the Alexandria database).

POSCAR file:
```
LiCoW
1.0
5.5718 0.0000 0.0000
0.0000 5.5718 0.0000
0.0000 0.0000 5.5718
Li Co W
4 4 4
direct
0.0000 0.0000 0.0000
0.0000 0.5000 0.5000
0.5000 0.0000 0.5000
0.5000 0.5000 0.0000
0.2500 0.2500 0.7500
0.2500 0.7500 0.2500
0.7500 0.2500 0.2500
0.7500 0.7500 0.7500
0.0000 0.0000 0.5000
0.0000 0.5000 0.0000
0.5000 0.0000 0.0000
0.5000 0.5000 0.5000
```

Values from the calculation:
* energy of formation from the pure elements: 2.2 eV per formula unit
* distance to the lowest polymorph of the same formula: 392.3 meV/atom